#A
Compound: Ga2SbSe2
Source: Alexandria
Functional: PBE
Structure: optimized geometry

Cell: 5.2438 5.2438 5.5643 Å, 61.89 61.89 90.00°
Closest atoms and distances in Å follow each position.
Element x y z (fractional)
Se: 0.7500 0.2500 0.5000  4 Ga 2.75
Se: 0.2500 0.7500 0.5000  4 Ga 2.75
Ga: 0.3490 0.3490 0.3020  1 Ga 2.51, 4 Se 2.75
Ga: 0.6510 0.6510 0.6980  1 Ga 2.51, 4 Se 2.75
Sb: 0.0000 0.0000 0.0000  2 Ga 2.90

Summary:
Symmetry   I4/mmm (139)
Total magnetic moment   0.00 μB per atom

---

#B
Compound: Ga2SbSe2
Source: Alexandria
Functional: PBE
Structure: optimized geometry

Cell: 7.7154 7.7154 3.6368 Å, 90.00 90.00 90.00°
Closest atoms and distances in Å follow each position.
Element x y z (fractional)
Se: 0.6504 0.8496 0.5000  6 Ga 2.82-2.96
Se: 0.1504 0.6504 0.5000  6 Ga 2.82-2.96
Se: 0.3496 0.1504 0.5000  6 Ga 2.82-2.96
Se: 0.8496 0.3496 0.5000  6 Ga 2.82-2.96
Sb: 0.0000 0.0000 0.0000  4 Ga 2.93
Sb: 0.5000 0.5000 0.0000  4 Ga 2.93
Ga: 0.6519 0.1519 0.0000  6 Se 2.82-2.96, 2 Sb 2.93
Ga: 0.8481 0.6519 0.0000  6 Se 2.82-2.96, 2 Sb 2.93
Ga: 0.3481 0.8481 0.0000  6 Se 2.82-2.96, 2 Sb 2.93
Ga: 0.1519 0.3481 0.0000  6 Se 2.82-2.96, 2 Sb 2.93

Summary:
Symmetry   P4/mbm (127)
Total magnetic moment   0.00 μB per atom

---

Least stable = #B

---

#A
Compound: GaSb2TeSe
Source: Alexandria
Functional: PBE
Structure: optimized geometry

Cell: 5.4679 5.4679 5.5455 Å, 90.00 90.00 90.00°
Closest atoms and distances in Å follow each position.
Element x y z (fractional)
Se: 0.0000 0.0000 0.0000  4 Sb 2.73, 2 Te 2.77
Te: 0.0000 0.0000 0.5000  2 Se 2.77
Sb: 0.0000 0.5000 0.0000  2 Se 2.73
Sb: 0.5000 0.0000 0.0000  2 Se 2.73
Ga: 0.5000 0.5000 0.5000  4 Te 3.87, 8 Sb 3.89

Summary:
Symmetry   P4/mmm (123)
Total magnetic moment   0.07 μB per atom

---

#B
Compound: GaSb2TeSe
Source: Alexandria
Functional: PBE
Structure: optimized geometry

Cell: 5.3555 5.3555 5.2256 Å, 90.00 90.00 90.00°
Closest atoms and distances in Å follow each position.
Element x y z (fractional)
Se: 0.5000 0.5000 0.5000  8 Sb 3.74, 4 Te 3.79
Te: 0.0000 0.0000 0.5000  2 Ga 2.61
Sb: 0.5000 0.0000 0.0000  2 Ga 2.68
Sb: 0.0000 0.5000 0.0000  2 Ga 2.68
Ga: 0.0000 0.0000 0.0000  2 Te 2.61, 4 Sb 2.68

Summary:
Symmetry   P4/mmm (123)
Total magnetic moment   0.00 μB per atom

---

Least stable = #B

---

#A
Compound: Ga2Si2Sb
Source: Alexandria
Functional: PBE
Structure: optimized geometry

Cell: 4.3388 4.3388 6.1126 Å, 69.21 69.21 90.00°
Closest atoms and distances in Å follow each position.
Element x y z (fractional)
Ga: 0.3832 0.3832 0.2337  1 Ga 2.47, 4 Si 2.59
Ga: 0.6168 0.6168 0.7663  1 Ga 2.47, 4 Si 2.59
Si: 0.2500 0.7500 0.5000  4 Ga 2.59
Si: 0.7500 0.2500 0.5000  4 Ga 2.59
Sb: 0.0000 0.0000 0.0000  8 Ga 3.31, 8 Si 3.42

Summary:
Symmetry   I4/mmm (139)
Total magnetic moment   0.00 μB per atom

---

#B
Compound: Ga2Si2Sb
Source: Alexandria
Functional: PBE
Structure: optimized geometry

Cell: 7.9401 7.9401 3.0432 Å, 90.00 90.00 90.00°
Closest atoms and distances in Å follow each position.
Element x y z (fractional)
Sb: 0.5000 0.5000 0.0000  4 Si 2.99, 2 Sb 3.04
Sb: 0.0000 0.0000 0.0000  4 Si 2.99, 2 Sb 3.04
Si: 0.1592 0.3408 0.0000  6 Ga 2.75-2.81, 2 Sb 2.99, 2 Si 3.04
Si: 0.6592 0.1592 0.0000  6 Ga 2.75-2.81, 2 Sb 2.99, 2 Si 3.04
Si: 0.3408 0.8408 0.0000  6 Ga 2.75-2.81, 2 Sb 2.99, 2 Si 3.04
Si: 0.8408 0.6592 0.0000  6 Ga 2.75-2.81, 2 Sb 2.99, 2 Si 3.04
Ga: 0.8628 0.3628 0.5000  6 Si 2.75-2.81, 2 Ga 3.04
Ga: 0.1372 0.6372 0.5000  6 Si 2.75-2.81, 2 Ga 3.04
Ga: 0.6372 0.8628 0.5000  6 Si 2.75-2.81, 2 Ga 3.04
Ga: 0.3628 0.1372 0.5000  6 Si 2.75-2.81, 2 Ga 3.04

Summary:
Symmetry   P4/mbm (127)
Total magnetic moment   0.00 μB per atom

---

Least stable = #A